Compound: BeSe3S
Source: Alexandria
Functional: PBE
Structure: relaxed

```
5
Lattice="4.818 0.000 0.000 0.000 4.818 0.000 0.000 0.000 4.818" Properties=species:S:1:pos:R:3 pbc="T T T"
Be 2.409 2.409 2.409
S 0.000 0.000 0.000
Se 2.409 0.000 0.000
Se 0.000 0.000 2.409
Se 0.000 2.409 0.000
```

## Properties
- crystal system = cubic
- E (eV per atom) = -2.717
- uncorrected formation energy (eV/atom) = 0.94
- space group = Pm-3m
- energy above the most stable polymorph in this dataset (eV per formula unit) = 1.87